The following is a DFT calculation (PBE) of a geometry-optimized NaInSe2 structure.

Calculated values
The uncorrected formation energy comes out at -789 meV/atom. The density of states at the Fermi level comes out at 0.000 states/eV per atom. The value obtained for the calculated volume is 484 Å³/cell. As for the space-group type: Pna2_1.

Cell lengths 7.4664, 9.2092, 7.0441 Å; angles 90.00, 90.00, 90.00 degrees
Atoms (fractional coordinates):
Na (0.1667, 0.1235, 0.0000)
Na (0.3333, 0.6235, 0.5000)
Na (0.6667, 0.3765, 0.0000)
Na (0.8333, 0.8765, 0.5000)
In (0.0180, 0.3647, 0.5890)
In (0.4820, 0.8647, 0.0890)
In (0.5180, 0.1353, 0.5890)
In (0.9820, 0.6353, 0.0890)
Se (0.0927, 0.3869, 0.2292)
Se (0.1528, 0.8516, 0.2402)
Se (0.3472, 0.3516, 0.7402)
Se (0.4073, 0.8869, 0.7292)
Se (0.5927, 0.1131, 0.2292)
Se (0.6528, 0.6484, 0.2402)
Se (0.8472, 0.1484, 0.7402)
Se (0.9073, 0.6131, 0.7292)

The following is a DFT calculation (PBE) of a geometry-optimized ScCu4Rh structure.

Calculated values
Its energy of formation from the pure elements is -0.281 eV per atom. The density of states at the Fermi level comes out at 0.512 states/eV per atom. The value obtained for the calculated volume is 82 Å³/cell. As for the space-group type: F-43m.

Cell lengths 4.8731, 4.8731, 4.8731 Å; angles 60.00, 60.00, 60.00 degrees
Atoms (fractional coordinates):
Sc (0.0000, 0.0000, 0.0000)
Cu (0.3755, 0.3755, 0.3755)
Cu (0.3755, 0.3755, 0.8736)
Cu (0.3755, 0.8736, 0.3755)
Cu (0.8736, 0.3755, 0.3755)
Rh (0.7500, 0.7500, 0.7500)

The following is a DFT calculation (PBE) of a geometry-optimized CoRu2Br structure.

Calculated values
The uncorrected formation energy comes out at 987 meV/atom. The density of states at the Fermi level comes out at 1.186 states/eV per atom. Its polymorph energy (0 for the lowest one) is 1.764 eV per formula unit. The value obtained for the calculated volume is 58 Å³/cell. As for the space-group type: I-4m2.

Cell lengths 4.5758, 4.5758, 4.5758 Å; angles 127.83, 127.83, 76.90 degrees
Atoms (fractional coordinates):
Co (0.0000, 0.0000, 0.0000)
Ru (0.2500, 0.7500, 0.5000)
Ru (0.5000, 0.5000, 0.0000)
Br (0.7500, 0.2500, 0.5000)

The following is a DFT calculation (PBE) of a geometry-optimized MgSi2Rh structure.

Calculated values
The uncorrected formation energy comes out at -267 meV/atom. The density of states at the Fermi level comes out at 0.380 states/eV per atom. The value obtained for the calculated volume is 62 Å³/cell. As for the space-group type: Pm.

Cell lengths 3.1323, 4.2159, 4.9200 Å; angles 90.00, 108.21, 90.00 degrees
Atoms (fractional coordinates):
Mg (0.0000, 0.0000, 0.0000)
Si (0.3117, 0.5000, 0.6316)
Si (0.7282, 0.0000, 0.4671)
Rh (0.5994, 0.5000, 0.2037)

The following is a DFT calculation (PBE) of a geometry-optimized Zn2RuW structure.

Calculated values
Its energy of formation from the pure elements is 0.021 eV per atom. The density of states at the Fermi level comes out at 0.346 states/eV per atom. Its polymorph energy (0 for the lowest one) is 0.000 eV per formula unit. The value obtained for the calculated volume is 59 Å³/cell. As for the space-group type: P4mm.

Cell lengths 2.9857, 2.9857, 6.6650 Å; angles 90.00, 90.00, 90.00 degrees
Atoms (fractional coordinates):
Zn (0.0000, 0.0000, 0.0000)
Zn (0.5000, 0.5000, 0.2456)
Ru (0.0000, 0.0000, 0.4976)
W (0.5000, 0.5000, 0.7229)

The following is a DFT calculation (PBE) of a geometry-optimized Re6C7 structure.

Calculated values
Its energy of formation from the pure elements is 1.254 eV per atom. The density of states at the Fermi level comes out at 0.596 states/eV per atom. The value obtained for the calculated volume is 142 Å³/cell. As for the space-group type: R-3m.

Cell lengths 10.3699, 10.3699, 10.3699 Å; angles 22.39, 22.39, 22.39 degrees
Atoms (fractional coordinates):
Re (0.0950, 0.0950, 0.0950)
Re (0.1863, 0.1863, 0.1863)
Re (0.3122, 0.3122, 0.3122)
Re (0.6878, 0.6878, 0.6878)
Re (0.8137, 0.8137, 0.8137)
Re (0.9050, 0.9050, 0.9050)
C (0.1490, 0.5361, 0.5361)
C (0.4639, 0.4639, 0.8510)
C (0.4639, 0.8510, 0.4639)
C (0.5000, 0.5000, 0.5000)
C (0.5361, 0.1490, 0.5361)
C (0.5361, 0.5361, 0.1490)
C (0.8510, 0.4639, 0.4639)